DFT (PBE) results for a relaxed structure of Na3DyHo2O6.

Results
Symmetry   No. 12
Crystal system   monoclinic
Uncorrected energy   -6.77 eV/atom

Unit cell a=5.9145 b=5.9145 c=5.9176 alpha=99.59 beta=99.59 gamma=120.00
Sites, in units of the cell vectors:
O1 0.4049 0.0702 0.2104
O2 0.2645 0.2645 0.7895
O3 0.7355 0.7355 0.2105
O4 0.9298 0.5951 0.7896
O5 0.5951 0.9298 0.7896
O6 0.0702 0.4049 0.2104
Na1 0.8328 0.1672 0.5000
Na2 0.5000 0.5000 0.5000
Na3 0.1672 0.8328 0.5000
Ho1 0.3334 0.6666 0.0000
Ho2 0.6666 0.3334 0.0000
Dy1 0.0000 0.0000 0.0000

---

DFT (PBE) results for a relaxed structure of NaDy4HoS8.

Results
Symmetry   No. 160
Crystal system   trigonal
Uncorrected energy   -6.06 eV/atom

Unit cell a=8.0951 b=8.0951 c=8.0850 alpha=59.96 beta=59.96 gamma=60.00
Sites, in units of the cell vectors:
Dy1 0.0044 0.0044 0.5045
Dy2 0.0044 0.4867 0.5045
Dy3 0.4867 0.0044 0.5045
Dy4 0.6249 0.6249 0.1254
S1 0.7587 0.2255 0.2570
S2 0.7580 0.7580 0.7261
S3 0.2255 0.7587 0.2570
S4 0.2383 0.7835 0.7399
S5 0.7587 0.7587 0.2570
S6 0.2383 0.2383 0.7399
S7 0.7835 0.2383 0.7399
S8 0.2389 0.2389 0.2832
Ho1 0.0046 0.0046 0.9863
Na1 0.3751 0.3751 0.8747

---

DFT (PBE) results for a relaxed structure of NaDyHo2S4.

Results
Symmetry   No. 10
Crystal system   monoclinic
Uncorrected energy   -5.86 eV/atom

Unit cell a=3.8928 b=6.8005 c=6.7973 alpha=70.92 beta=90.00 gamma=90.00
Sites, in units of the cell vectors:
Na1 0.5000 0.5000 0.0000
Dy1 0.0000 0.5000 0.5000
S1 0.5000 0.2477 0.7501
S2 0.5000 0.7523 0.2499
S3 0.0000 0.7568 0.7445
S4 0.0000 0.2432 0.2555
Ho1 0.0000 0.0000 0.0000
Ho2 0.5000 0.0000 0.5000

---

The highest uncorrected energy belongs to which entry? NaDyHo2S4

---

The highest uncorrected energy belongs to which entry? NaDyHo2S4